# NaPaTlBr6 GGA-PBE optimized geometry
# D(E_F) = 1.30 states/eV per cell
# energy = -71.26 eV per cell
# mass density = 4.4 Mg/m³
# formation energy from raw total energies = -1379 meV per atom
data_NaPaTlBr6
_cell_length_a 7.5917
_cell_length_b 7.5917
_cell_length_c 14.2682
_cell_angle_alpha 90.00
_cell_angle_beta 90.00
_cell_angle_gamma 120.00
_symmetry_space_group_name_H-M 'P -3 1 c'
_symmetry_Int_Tables_number 163
_symmetry_space_group_name_Hall '-P 3 2c'
loop_
_atom_site_label
_atom_site_fract_x
_atom_site_fract_y
_atom_site_fract_z
Na1 0.3333 0.6667 0.2500
Pa1 0.3333 0.6667 0.7500
Tl1 0.0000 0.0000 0.0000
Br1 0.0199 0.3741 0.6360

# ZnInFe2 GGA-PBE optimized geometry
# E_form = 0.20 eV per atom
# D(E_F) = 3.13 states/eV per cell
# energy = -20.15 eV per cell
# mass density = 8.2 Mg/m³
data_ZnInFe2
_cell_length_a 2.754
_cell_length_b 3.831
_cell_length_c 5.583
_cell_angle_alpha 90.00
_cell_angle_beta 91.22
_cell_angle_gamma 90.00
_symmetry_space_group_name_H-M 'P 1 2/m 1'
_symmetry_Int_Tables_number 10
loop_
_symmetry_equiv_pos_as_xyz
'x,y,z'
'-x,-y,-z'
'-x,y,-z'
'x,-y,z'
loop_
_atom_site_label
_atom_site_fract_x
_atom_site_fract_y
_atom_site_fract_z
Zn1 0.000 0.000 0.000
In1 0.000 0.000 0.500
Fe1 0.493 0.500 0.220

# Nd2Y4ErMg GGA-PBE optimized geometry
# E_form = 0.03 eV per atom
# D(E_F) = 13.22 states/eV per cell
# energy = -41.32 eV per cell
# mass density = 5.4 Mg/m³
data_Nd2Y4ErMg
_cell_length_a 5.004
_cell_length_b 5.016
_cell_length_c 10.147
_cell_angle_alpha 90.00
_cell_angle_beta 90.00
_cell_angle_gamma 90.00
_symmetry_space_group_name_H-M 'P m m m'
_symmetry_Int_Tables_number 47
loop_
_symmetry_equiv_pos_as_xyz
'x,y,z'
'-x,-y,-z'
'-x,-y,z'
'x,y,-z'
'x,-y,-z'
'-x,y,z'
'-x,y,-z'
'x,-y,z'
loop_
_atom_site_label
_atom_site_fract_x
_atom_site_fract_y
_atom_site_fract_z
Nd1 0.000 0.000 0.000
Nd2 0.500 0.500 0.500
Y1 0.000 0.500 0.249
Y2 0.500 0.000 0.249
Er1 0.000 0.000 0.500
Mg1 0.500 0.500 0.000

# AcDy4Y3 GGA-PBE optimized geometry
# energy above the lowest structure with this stoichiometry = 0 meV per atom
# E_form = 0.16 eV per atom
# D(E_F) = 29.48 states/eV per cell
# energy = -81.26 eV per cell
# mass density = 7.1 Mg/m³
data_AcDy4Y3
_cell_length_a 13.495
_cell_length_b 11.823
_cell_length_c 3.493
_cell_angle_alpha 90.00
_cell_angle_beta 104.92
_cell_angle_gamma 90.00
_symmetry_space_group_name_H-M 'C 1 2/m 1'
_symmetry_Int_Tables_number 12
loop_
_symmetry_equiv_pos_as_xyz
'x,y,z'
'-x,-y,-z'
'-x,y,-z'
'x,-y,z'
'x+1/2,y+1/2,z'
'-x+1/2,-y+1/2,-z'
'-x+1/2,y+1/2,-z'
'x+1/2,-y+1/2,z'
loop_
_atom_site_label
_atom_site_fract_x
_atom_site_fract_y
_atom_site_fract_z
Ac1 0.000 0.000 0.000
Dy1 0.136 0.253 0.136
Y1 0.000 0.500 0.500
Y2 0.244 0.000 0.744

Question: What is the D(E_F) in the third record?
Answer: 13.22 states/eV per cell

Question: Which value of D(E_F) does entry 1 give?
Answer: 1.30 states/eV per cell

Question: The highest mass density belongs to which entry?
Answer: ZnInFe2